Compound: FeCuO2F
Source: Alexandria via LeMat-Bulk
Functional: PBE with a Hubbard U
Structure: optimized geometry

a = 3.799 Å, b = 3.799 Å, c = 3.756 Å
α = 90.00°, β = 90.00°, γ = 90.00°
Positions (direct):
1 Fe 0.000 0.000 0.000
2 Cu 0.500 0.500 0.500
3 O 0.000 0.500 0.500
4 O 0.500 0.000 0.500
5 F 0.500 0.500 0.000

Computed properties:
* E_tot: -4.781 eV per atom
* total magnetization: 4.3 μB per formula unit
* symmetry: No. 123